(1)
LiSmPPt | PBE-GGA | optimized geometry

Calculated values
- total energy (eV/atom) = -5.29
- total moment (μB per formula unit) = 0.00

a b c (Å): 4.1183 4.1183 9.6866
angles (deg): 90.00 90.00 90.00
Atoms (fractional coordinates):
Li: 0.0000 0.0000 0.5000
Li: 0.5000 0.5000 0.5000
Sm: 0.0000 0.5000 0.8335
Sm: 0.5000 0.0000 0.1665
P: 0.5000 0.0000 0.8784
P: 0.0000 0.5000 0.1216
Pt: 0.0000 0.5000 0.3546
Pt: 0.5000 0.0000 0.6454

***

(2)
LiSm2PPt6 | PBE-GGA | optimized geometry

Calculated values
- total energy (eV/atom) = -6.15
- total moment (μB per formula unit) = 0.00

a b c (Å): 5.5852 7.9414 8.6593
angles (deg): 90.00 90.00 90.00
Atoms (fractional coordinates):
Li: 0.0000 0.7164 0.5000
Li: 0.5000 0.2836 0.0000
Sm: 0.5000 0.7256 0.2724
Sm: 0.0000 0.2744 0.7724
Sm: 0.5000 0.7256 0.7276
Sm: 0.0000 0.2744 0.2276
P: 0.5000 0.2309 0.5000
P: 0.0000 0.7691 0.0000
Pt: 0.5000 0.1169 0.2505
Pt: 0.5000 0.1169 0.7495
Pt: 0.0000 0.8831 0.2495
Pt: 0.0000 0.8831 0.7505
Pt: 0.2441 0.9863 0.5000
Pt: 0.7559 0.9863 0.5000
Pt: 0.2407 0.4558 0.5000
Pt: 0.7593 0.4558 0.5000
Pt: 0.7407 0.5442 0.0000
Pt: 0.2593 0.5442 0.0000
Pt: 0.2559 0.0137 0.0000
Pt: 0.7441 0.0137 0.0000

***

(3)
Sr2LiP3Pt12 | PBE-GGA | optimized geometry

Calculated values
- total energy (eV/atom) = -5.62
- total moment (μB per formula unit) = 0.00

a b c (Å): 7.6181 7.6181 7.6181
angles (deg): 66.10 66.10 66.10
Atoms (fractional coordinates):
Sr: 0.6148 0.6148 0.6148
Sr: 0.3852 0.3852 0.3852
Li: 0.0000 0.0000 0.0000
P: 0.5000 0.0000 0.0000
P: 0.0000 0.5000 0.0000
P: 0.0000 0.0000 0.5000
Pt: 0.3389 0.3389 0.9038
Pt: 0.8823 0.8823 0.3571
Pt: 0.3571 0.8823 0.8823
Pt: 0.9038 0.3389 0.3389
Pt: 0.8823 0.3571 0.8823
Pt: 0.3389 0.9038 0.3389
Pt: 0.6611 0.6611 0.0962
Pt: 0.1177 0.1177 0.6429
Pt: 0.6429 0.1177 0.1177
Pt: 0.0962 0.6611 0.6611
Pt: 0.1177 0.6429 0.1177
Pt: 0.6611 0.0962 0.6611

***

(4)
SrLiPPt6 | PBE-GGA | optimized geometry

Calculated values
- total energy (eV/atom) = -5.37
- total moment (μB per formula unit) = 0.00

a b c (Å): 5.8040 9.5473 8.1766
angles (deg): 125.72 110.79 90.00
Atoms (fractional coordinates):
Sr: 0.8237 0.5737 0.6474
Sr: 0.1763 0.4263 0.3526
Li: 0.5000 0.0000 0.5000
Li: 0.0000 0.0000 0.5000
P: 0.5000 0.5000 0.0000
P: 0.5000 0.0000 0.0000
Pt: 0.4433 0.6933 0.8866
Pt: 0.9209 0.1709 0.8418
Pt: 0.8976 0.1167 0.2735
Pt: 0.3759 0.6567 0.2735
Pt: 0.3759 0.1167 0.2735
Pt: 0.8976 0.6567 0.2735
Pt: 0.5567 0.3067 0.1134
Pt: 0.0791 0.8291 0.1582
Pt: 0.1024 0.8833 0.7265
Pt: 0.6241 0.3433 0.7265
Pt: 0.6241 0.8833 0.7265
Pt: 0.1024 0.3433 0.7265

***

(5)
SrLiP2Pt | PBE-GGA | optimized geometry

Calculated values
- total energy (eV/atom) = -4.99
- total moment (μB per formula unit) = 0.00

a b c (Å): 4.1901 4.1901 5.8256
angles (deg): 111.08 111.08 90.00
Atoms (fractional coordinates):
Sr: 0.0000 0.0000 0.0000
Li: 0.7500 0.2500 0.5000
P: 0.6147 0.6147 0.2294
P: 0.3853 0.3853 0.7706
Pt: 0.2500 0.7500 0.5000

***

(6)
LiTaPPt2 | PBE-GGA | optimized geometry

Calculated values
- total energy (eV/atom) = -5.59
- total moment (μB per formula unit) = 0.00

a b c (Å): 4.0639 4.7333 4.0639
angles (deg): 90.00 90.00 90.00
Atoms (fractional coordinates):
P: 0.5000 0.5000 0.5000
Li: 0.0000 0.0000 0.0000
Pt: 0.0000 0.0000 0.5000
Pt: 0.5000 0.0000 0.0000
Ta: 0.0000 0.5000 0.0000

***

(7)
LiTb2PPt6 | PBE-GGA | optimized geometry

Calculated values
- total energy (eV/atom) = -6.14
- total moment (μB per formula unit) = 0.00

a b c (Å): 5.5691 7.8684 8.6144
angles (deg): 90.00 90.00 90.00
Atoms (fractional coordinates):
Li: 0.0000 0.7154 0.5000
Li: 0.5000 0.2846 0.0000
Tb: 0.5000 0.7271 0.2730
Tb: 0.0000 0.2729 0.7730
Tb: 0.5000 0.7271 0.7270
Tb: 0.0000 0.2729 0.2270
P: 0.5000 0.2319 0.5000
P: 0.0000 0.7681 0.0000
Pt: 0.5000 0.1188 0.2506
Pt: 0.5000 0.1188 0.7494
Pt: 0.0000 0.8812 0.2494
Pt: 0.0000 0.8812 0.7506
Pt: 0.2454 0.9839 0.5000
Pt: 0.7546 0.9839 0.5000
Pt: 0.2404 0.4565 0.5000
Pt: 0.7596 0.4565 0.5000
Pt: 0.7404 0.5435 0.0000
Pt: 0.2596 0.5435 0.0000
Pt: 0.2546 0.0161 0.0000
Pt: 0.7454 0.0161 0.0000

***

(8)
LiTbP2Pt5 | PBE-GGA | optimized geometry

Calculated values
- total energy (eV/atom) = -5.98
- total moment (μB per formula unit) = 0.00

a b c (Å): 3.9743 3.9743 11.3433
angles (deg): 90.00 90.00 90.00
Atoms (fractional coordinates):
Li: 0.0000 0.0000 0.5000
Tb: 0.0000 0.0000 0.0000
P: 0.5000 0.5000 0.3020
P: 0.5000 0.5000 0.6980
Pt: 0.0000 0.5000 0.1932
Pt: 0.5000 0.0000 0.1932
Pt: 0.0000 0.5000 0.8068
Pt: 0.5000 0.0000 0.8068
Pt: 0.5000 0.5000 0.5000

***

(9)
Li2TbP2Pt2 | PBE-GGA | optimized geometry

Calculated values
- total energy (eV/atom) = -5.51
- total moment (μB per formula unit) = 0.00

a b c (Å): 4.1015 4.1015 8.0819
angles (deg): 75.30 75.30 60.00
Atoms (fractional coordinates):
Li: 0.1428 0.1428 0.5715
Li: 0.8572 0.8572 0.4285
Tb: 0.0000 0.0000 0.0000
P: 0.7469 0.7469 0.7593
P: 0.2531 0.2531 0.2407
Pt: 0.5768 0.5768 0.2696
Pt: 0.4232 0.4232 0.7304

***

(10)
LiThP2Pt7 | PBE-GGA | optimized geometry

Calculated values
- total energy (eV/atom) = -6.07
- total moment (μB per formula unit) = 0.00

a b c (Å): 4.2017 4.2017 12.4288
angles (deg): 99.73 99.73 90.00
Atoms (fractional coordinates):
Li: 0.2500 0.7500 0.5000
Th: 0.5000 0.5000 0.0000
P: 0.8602 0.8602 0.7204
P: 0.1398 0.1398 0.2796
Pt: 0.0909 0.5909 0.1818
Pt: 0.0000 0.0000 0.0000
Pt: 0.4091 0.9091 0.8182
Pt: 0.7702 0.7702 0.5404
Pt: 0.5902 0.0902 0.1803
Pt: 0.2298 0.2298 0.4596
Pt: 0.9098 0.4098 0.8197

***

(11)
LiTh2P3Pt4 | PBE-GGA | optimized geometry

Calculated values
- total energy (eV/atom) = -6.72
- total moment (μB per formula unit) = 0.00

a b c (Å): 4.2037 4.2037 10.0025
angles (deg): 90.00 90.00 90.00
Atoms (fractional coordinates):
Li: 0.5000 0.5000 0.5000
Th: 0.5000 0.0000 0.2474
Th: 0.0000 0.5000 0.7526
P: 0.0000 0.0000 0.5000
P: 0.5000 0.0000 0.8635
P: 0.0000 0.5000 0.1365
Pt: 0.5000 0.5000 0.0000
Pt: 0.0000 0.0000 0.0000
Pt: 0.5000 0.0000 0.6275
Pt: 0.0000 0.5000 0.3725

***

(12)
LiTl2P3Pt12 | PBE-GGA | optimized geometry

Calculated values
- total energy (eV/atom) = -5.48
- total moment (μB per formula unit) = 0.00

a b c (Å): 7.3987 7.3987 7.3987
angles (deg): 67.36 67.36 67.36
Atoms (fractional coordinates):
Li: 0.0000 0.0000 0.0000
Tl: 0.6077 0.6077 0.6077
Tl: 0.3923 0.3923 0.3923
P: 0.5000 0.0000 0.0000
P: 0.0000 0.5000 0.0000
P: 0.0000 0.0000 0.5000
Pt: 0.3547 0.3547 0.8930
Pt: 0.8631 0.8631 0.3766
Pt: 0.3766 0.8631 0.8631
Pt: 0.8930 0.3547 0.3547
Pt: 0.8631 0.3766 0.8631
Pt: 0.3547 0.8930 0.3547
Pt: 0.6453 0.6453 0.1070
Pt: 0.1369 0.1369 0.6234
Pt: 0.6234 0.1369 0.1369
Pt: 0.1070 0.6453 0.6453
Pt: 0.1369 0.6234 0.1369
Pt: 0.6453 0.1070 0.6453